Below is an optimized crystal structure of Ca2InF6, with properties calculated at the PBE level.

The spin magnetization comes out at 0.70 μB per formula unit. The calculation puts the density of states at the Fermi level at 3.1 states/eV/f.u. For the energy, the calculation gives -5.25 eV/atom.

It has space group P4_2/mnm (No. 136), with a = 5.2718 Å, b = 5.2718 Å, c = 10.9358 Å, α = 90.00°, β = 90.00° and γ = 90.00°. The asymmetric unit holds Ca at (0.0000, 0.0000, 0.1666), In at (0.0000, 0.0000, 0.5000), F at (0.1892, 0.1892, 0.0000) and F at (0.1941, 0.1941, 0.3295).

---

Below is an optimized crystal structure of YMg2In, with properties calculated at the PBE level.

The spin magnetization comes out at 0.00 μB per formula unit. As for the calculated formation energy: -0.13 eV/atom. The calculation puts the density of states at the Fermi level at 2.1 states/eV/f.u.

It has space group C2/m (No. 12), with a = 6.3585 Å, b = 11.1053 Å, c = 3.2208 Å, α = 90.00°, β = 116.31° and γ = 90.00°. The asymmetric unit holds Y at (0.0000, 0.0000, 0.0000), Mg at (0.2500, 0.2500, 0.5000) and In at (0.0000, 0.5000, 0.0000).

---

Below is an optimized crystal structure of CaLa2Re, with properties calculated at the PBE level.

The spin magnetization comes out at 0.00 μB per formula unit. As for the calculated formation energy: 0.71 eV/atom. The calculation puts the density of states at the Fermi level at 4.2 states/eV/f.u. The calculation puts the offset from the most stable computed form at 512.0 meV per atom.

It has space group I-42d (No. 122), with a = 8.2446 Å, b = 8.2446 Å, c = 11.0874 Å, α = 90.00°, β = 90.00° and γ = 90.00°. The asymmetric unit holds Ca at (0.0000, 0.0000, 0.0000), La at (0.0773, 0.2500, 0.6250) and Re at (0.0000, 0.0000, 0.5000).

---

Below is an optimized crystal structure of LaTaTl2, with properties calculated at the PBE level.

The spin magnetization comes out at 0.00 μB per formula unit. As for the calculated formation energy: 0.65 eV/atom. The calculation puts the density of states at the Fermi level at 6.5 states/eV/f.u.

It has space group I-42d (No. 122), with a = 4.5834 Å, b = 4.5834 Å, c = 21.7063 Å, α = 90.00°, β = 90.00° and γ = 90.00°. The asymmetric unit holds La at (0.0000, 0.0000, 0.0000), Ta at (0.0000, 0.0000, 0.5000) and Tl at (0.2052, 0.2500, 0.6250).

---

Below is an optimized crystal structure of MnCrOs2, with properties calculated at the PBE level.

The spin magnetization comes out at 0.00 μB per formula unit. As for the calculated formation energy: 0.18 eV/atom. The calculation puts the density of states at the Fermi level at 4.7 states/eV/f.u.

It has space group P4mm (No. 99), with a = 2.8769 Å, b = 2.8769 Å, c = 6.2133 Å, α = 90.00°, β = 90.00° and γ = 90.00°. The asymmetric unit holds Mn at (0.0000, 0.0000, 0.0000), Cr at (0.5000, 0.5000, 0.8379), Os at (0.0000, 0.0000, 0.5645) and Os at (0.5000, 0.5000, 0.2794).

---

Below is an optimized crystal structure of Rb2YTi, with properties calculated at the PBE level.

The spin magnetization comes out at 4.97 μB per formula unit. As for the calculated formation energy: 1.22 eV/atom. The calculation puts the density of states at the Fermi level at 3.6 states/eV/f.u. The calculation puts the offset from the most stable computed form at 0.0 meV per atom.

It has space group I-42d (No. 122), with a = 12.9907 Å, b = 12.9907 Å, c = 5.8614 Å, α = 90.00°, β = 90.00° and γ = 90.00°. The asymmetric unit holds Rb at (0.1292, 0.2500, 0.1250), Y at (0.0000, 0.0000, 0.5000) and Ti at (0.0000, 0.0000, 0.0000).

---

Below is an optimized crystal structure of MgZnS2, with properties calculated at the PBE level.

The spin magnetization comes out at 0.00 μB per formula unit. The calculation puts the density of states at the Fermi level at 0.1 states/eV/f.u. For the energy, the calculation gives -3.74 eV/atom.

It has space group P4/mmm (No. 123), with a = 3.6552 Å, b = 3.6552 Å, c = 5.1672 Å, α = 90.00°, β = 90.00° and γ = 90.00°. The asymmetric unit holds Mg at (0.0000, 0.0000, 0.0000), Zn at (0.5000, 0.5000, 0.5000), S at (0.0000, 0.0000, 0.5000) and S at (0.5000, 0.5000, 0.0000).

---

Below is an optimized crystal structure of NiAgSe2, with properties calculated at the PBE level.

The spin magnetization comes out at 0.00 μB per formula unit. The calculation puts the density of states at the Fermi level at 2.9 states/eV/f.u. The calculation puts the offset from the most stable computed form at 170.1 meV per atom.

It has space group Cmcm (No. 63), with a = 3.2369 Å, b = 22.6569 Å, c = 4.1973 Å, α = 90.00°, β = 90.00° and γ = 90.00°. The asymmetric unit holds Ni at (0.0000, 0.1862, 0.2500), Ag at (0.0000, 0.4607, 0.2500), Se at (0.0000, 0.2902, 0.2500) and Se at (0.0000, 0.3951, 0.7500).

---

Below is an optimized crystal structure of Er4MgAl2, with properties calculated at the PBE level.

The spin magnetization comes out at 0.00 μB per formula unit. As for the calculated formation energy: -0.19 eV/atom. The calculation puts the density of states at the Fermi level at 5.4 states/eV/f.u. The calculation puts the offset from the most stable computed form at 0.0 meV per atom.

It has space group R-3m (No. 166, hexagonal axes), with a = 5.0868 Å, b = 5.0868 Å, c = 24.4227 Å, α = 90.00°, β = 90.00° and γ = 120.00°. The asymmetric unit holds Er at (0.0000, 0.0000, 0.1147), Er at (0.0000, 0.0000, 0.3687), Mg at (0.0000, 0.0000, 0.5000) and Al at (0.0000, 0.0000, 0.2440).

---

Below is an optimized crystal structure of Pm2PrPb, with properties calculated at the PBE level.

The spin magnetization comes out at 0.00 μB per formula unit. As for the calculated formation energy: -0.15 eV/atom. The calculation puts the density of states at the Fermi level at 3.5 states/eV/f.u. The calculation puts the offset from the most stable computed form at 182.1 meV per atom.

It has space group R3m (No. 160, hexagonal axes), with a = 3.6855 Å, b = 3.6855 Å, c = 34.0704 Å, α = 90.00°, β = 90.00° and γ = 120.00°. The asymmetric unit holds Pm at (0.0000, 0.0000, 0.0000), Pm at (0.0000, 0.0000, 0.1760), Pr at (0.0000, 0.0000, 0.4213) and Pb at (0.0000, 0.0000, 0.5876).

---

Below is an optimized crystal structure of In2RhPb, with properties calculated at the PBE level.

The spin magnetization comes out at 0.00 μB per formula unit. As for the calculated formation energy: 0.14 eV/atom. The calculation puts the density of states at the Fermi level at 1.5 states/eV/f.u.

It has space group I4/mmm (No. 139), with a = 4.4764 Å, b = 4.4764 Å, c = 8.8102 Å, α = 90.00°, β = 90.00° and γ = 90.00°. The asymmetric unit holds In at (0.0000, 0.5000, 0.2500), Rh at (0.0000, 0.0000, 0.0000) and Pb at (0.0000, 0.0000, 0.5000).

---

Below is an optimized crystal structure of Ac2ErRh, with properties calculated at the PBE level.

The spin magnetization comes out at 0.00 μB per formula unit. As for the calculated formation energy: 0.06 eV/atom. The calculation puts the density of states at the Fermi level at 5.3 states/eV/f.u. The calculation puts the offset from the most stable computed form at 249.2 meV per atom.

It has space group R-3m (No. 166, hexagonal axes), with a = 5.5696 Å, b = 5.5696 Å, c = 13.5503 Å, α = 90.00°, β = 90.00° and γ = 120.00°. The asymmetric unit holds Ac at (0.0000, 0.0000, 0.2493), Er at (0.0000, 0.0000, 0.5000) and Rh at (0.0000, 0.0000, 0.0000).

---

Among the records above, which one has the highest spin magnetization? Rb2YTi

---

The highest spin magnetization belongs to which entry? Rb2YTi